# CdSnSb2I GGA-PBE optimized geometry
# * size of the total moment: 0.0 μB per formula unit
# * raw formation energy: 547 meV per atom
data_CdSnSb2I
_cell_length_a 5.510
_cell_length_b 5.510
_cell_length_c 5.911
_cell_angle_alpha 90.00
_cell_angle_beta 90.00
_cell_angle_gamma 90.00
_symmetry_space_group_name_H-M 'P 4/m m m'
_symmetry_Int_Tables_number 123
_symmetry_space_group_name_Hall '-P 4 2'
loop_
_atom_site_label
_atom_site_type_symbol
_atom_site_fract_x
_atom_site_fract_y
_atom_site_fract_z
_atom_site_occupancy
Cd1 Cd 0.000 0.000 0.000 1
Sn1 Sn 0.500 0.500 0.500 1
Sb1 Sb 0.000 0.500 0.000 1
I1 I 0.000 0.000 0.500 1

***

# CdSnSbI GGA-PBE optimized geometry
# * size of the total moment: 0.0 μB per formula unit
# * raw formation energy: -189 meV per atom
data_CdSnSbI
_cell_length_a 7.617
_cell_length_b 4.396
_cell_length_c 9.465
_cell_angle_alpha 90.00
_cell_angle_beta 90.13
_cell_angle_gamma 90.00
_symmetry_space_group_name_H-M 'C 1 m 1'
_symmetry_Int_Tables_number 8
loop_
_symmetry_equiv_pos_as_xyz
'x,y,z'
'x,-y,z'
'x+1/2,y+1/2,z'
'x+1/2,-y+1/2,z'
loop_
_atom_site_label
_atom_site_type_symbol
_atom_site_fract_x
_atom_site_fract_y
_atom_site_fract_z
_atom_site_occupancy
Cd1 Cd 0.000 0.000 0.000 1
Sn1 Sn 0.000 0.000 0.707 1
Sb1 Sb 0.333 0.000 0.564 1
I1 I 0.167 0.500 0.169 1

***

# SrCdSbI GGA-PBE optimized geometry
# * size of the total moment: 0.0 μB per formula unit
# * raw formation energy: -958 meV per atom
data_SrCdSbI
_cell_length_a 4.7955
_cell_length_b 4.7955
_cell_length_c 46.2949
_cell_angle_alpha 90.00
_cell_angle_beta 90.00
_cell_angle_gamma 120.00
_symmetry_space_group_name_H-M 'R -3 m'
_symmetry_Int_Tables_number 166
_symmetry_space_group_name_Hall '-R 3 2"'
loop_
_atom_site_label
_atom_site_type_symbol
_atom_site_fract_x
_atom_site_fract_y
_atom_site_fract_z
_atom_site_occupancy
Sr1 Sr 0.0000 0.0000 0.0857 1
Cd1 Cd 0.0000 0.0000 0.3108 1
Sb1 Sb 0.0000 0.0000 0.3760 1
I1 I 0.0000 0.0000 0.2087 1

***

# CdTcSb2I GGA-PBE optimized geometry
# * size of the total moment: 0.0 μB per formula unit
# * raw formation energy: 403 meV per atom
data_CdTcSb2I
_cell_length_a 5.094
_cell_length_b 5.094
_cell_length_c 5.938
_cell_angle_alpha 90.00
_cell_angle_beta 90.00
_cell_angle_gamma 90.00
_symmetry_space_group_name_H-M 'P 4/m m m'
_symmetry_Int_Tables_number 123
_symmetry_space_group_name_Hall '-P 4 2'
loop_
_atom_site_label
_atom_site_type_symbol
_atom_site_fract_x
_atom_site_fract_y
_atom_site_fract_z
_atom_site_occupancy
Cd1 Cd 0.000 0.000 0.000 1
Tc1 Tc 0.500 0.500 0.500 1
Sb1 Sb 0.000 0.500 0.500 1
I1 I 0.500 0.500 0.000 1

***

# CdSb2TeI GGA-PBE optimized geometry
# * size of the total moment: 0.0 μB per formula unit
# * raw formation energy: 608 meV per atom
data_CdSb2TeI
_cell_length_a 5.661
_cell_length_b 5.661
_cell_length_c 5.524
_cell_angle_alpha 90.00
_cell_angle_beta 90.00
_cell_angle_gamma 90.00
_symmetry_space_group_name_H-M 'P 4/m m m'
_symmetry_Int_Tables_number 123
_symmetry_space_group_name_Hall '-P 4 2'
loop_
_atom_site_label
_atom_site_type_symbol
_atom_site_fract_x
_atom_site_fract_y
_atom_site_fract_z
_atom_site_occupancy
Cd1 Cd 0.000 0.000 0.000 1
Sb1 Sb 0.000 0.500 0.000 1
Te1 Te 0.500 0.500 0.500 1
I1 I 0.000 0.000 0.500 1

***

# CdSb2TeI GGA-PBE optimized geometry
# * size of the total moment: 0.0 μB per formula unit
# * raw formation energy: 616 meV per atom
data_CdSb2TeI
_cell_length_a 5.690
_cell_length_b 5.690
_cell_length_c 5.481
_cell_angle_alpha 90.00
_cell_angle_beta 90.00
_cell_angle_gamma 90.00
_symmetry_space_group_name_H-M 'P 4/m m m'
_symmetry_Int_Tables_number 123
_symmetry_space_group_name_Hall '-P 4 2'
loop_
_atom_site_label
_atom_site_type_symbol
_atom_site_fract_x
_atom_site_fract_y
_atom_site_fract_z
_atom_site_occupancy
Cd1 Cd 0.000 0.000 0.000 1
Sb1 Sb 0.000 0.500 0.000 1
Te1 Te 0.000 0.000 0.500 1
I1 I 0.500 0.500 0.500 1

***

# TiCdSbI2 GGA-PBE optimized geometry
# * size of the total moment: 0.4 μB per formula unit
# * raw formation energy: -26 meV per atom
data_TiCdSbI2
_cell_length_a 5.481
_cell_length_b 5.481
_cell_length_c 5.553
_cell_angle_alpha 90.00
_cell_angle_beta 90.00
_cell_angle_gamma 90.00
_symmetry_space_group_name_H-M 'P 4/m m m'
_symmetry_Int_Tables_number 123
_symmetry_space_group_name_Hall '-P 4 2'
loop_
_atom_site_label
_atom_site_type_symbol
_atom_site_fract_x
_atom_site_fract_y
_atom_site_fract_z
_atom_site_occupancy
Ti1 Ti 0.000 0.000 0.000 1
Cd1 Cd 0.500 0.500 0.500 1
Sb1 Sb 0.000 0.000 0.500 1
I1 I 0.000 0.500 0.000 1

***

# TiCdSbI2 GGA-PBE optimized geometry
# * size of the total moment: 0.2 μB per formula unit
# * raw formation energy: 813 meV per atom
data_TiCdSbI2
_cell_length_a 5.689
_cell_length_b 5.689
_cell_length_c 5.673
_cell_angle_alpha 90.00
_cell_angle_beta 90.00
_cell_angle_gamma 90.00
_symmetry_space_group_name_H-M 'P 4/m m m'
_symmetry_Int_Tables_number 123
_symmetry_space_group_name_Hall '-P 4 2'
loop_
_atom_site_label
_atom_site_type_symbol
_atom_site_fract_x
_atom_site_fract_y
_atom_site_fract_z
_atom_site_occupancy
Ti1 Ti 0.000 0.000 0.000 1
Cd1 Cd 0.500 0.500 0.500 1
Sb1 Sb 0.500 0.500 0.000 1
I1 I 0.000 0.500 0.500 1

***

# TiCdSbI2 GGA-PBE optimized geometry
# * size of the total moment: 2.3 μB per formula unit
# * raw formation energy: 439 meV per atom
data_TiCdSbI2
_cell_length_a 6.207
_cell_length_b 6.207
_cell_length_c 5.478
_cell_angle_alpha 90.00
_cell_angle_beta 90.00
_cell_angle_gamma 90.00
_symmetry_space_group_name_H-M 'P 4/m m m'
_symmetry_Int_Tables_number 123
_symmetry_space_group_name_Hall '-P 4 2'
loop_
_atom_site_label
_atom_site_type_symbol
_atom_site_fract_x
_atom_site_fract_y
_atom_site_fract_z
_atom_site_occupancy
Ti1 Ti 0.000 0.000 0.000 1
Cd1 Cd 0.500 0.500 0.000 1
Sb1 Sb 0.000 0.000 0.500 1
I1 I 0.000 0.500 0.500 1

***

# TiCdSb2I GGA-PBE optimized geometry
# * size of the total moment: 0.1 μB per formula unit
# * raw formation energy: 988 meV per atom
data_TiCdSb2I
_cell_length_a 5.415
_cell_length_b 5.415
_cell_length_c 5.847
_cell_angle_alpha 90.00
_cell_angle_beta 90.00
_cell_angle_gamma 90.00
_symmetry_space_group_name_H-M 'P 4/m m m'
_symmetry_Int_Tables_number 123
_symmetry_space_group_name_Hall '-P 4 2'
loop_
_atom_site_label
_atom_site_type_symbol
_atom_site_fract_x
_atom_site_fract_y
_atom_site_fract_z
_atom_site_occupancy
Ti1 Ti 0.000 0.000 0.000 1
Cd1 Cd 0.500 0.500 0.500 1
Sb1 Sb 0.000 0.500 0.500 1
I1 I 0.500 0.500 0.000 1

***

# TiCdSb2I GGA-PBE optimized geometry
# * size of the total moment: 0.0 μB per formula unit
# * raw formation energy: 122 meV per atom
data_TiCdSb2I
_cell_length_a 5.331
_cell_length_b 5.331
_cell_length_c 5.577
_cell_angle_alpha 90.00
_cell_angle_beta 90.00
_cell_angle_gamma 90.00
_symmetry_space_group_name_H-M 'P 4/m m m'
_symmetry_Int_Tables_number 123
_symmetry_space_group_name_Hall '-P 4 2'
loop_
_atom_site_label
_atom_site_type_symbol
_atom_site_fract_x
_atom_site_fract_y
_atom_site_fract_z
_atom_site_occupancy
Ti1 Ti 0.000 0.000 0.000 1
Cd1 Cd 0.500 0.500 0.500 1
Sb1 Sb 0.000 0.500 0.000 1
I1 I 0.000 0.000 0.500 1

***

# TlCdSbI2 GGA-PBE optimized geometry
# * size of the total moment: 1.8 μB per formula unit
# * raw formation energy: 5 meV per atom
data_TlCdSbI2
_cell_length_a 6.153
_cell_length_b 6.153
_cell_length_c 5.616
_cell_angle_alpha 90.00
_cell_angle_beta 90.00
_cell_angle_gamma 90.00
_symmetry_space_group_name_H-M 'P 4/m m m'
_symmetry_Int_Tables_number 123
_symmetry_space_group_name_Hall '-P 4 2'
loop_
_atom_site_label
_atom_site_type_symbol
_atom_site_fract_x
_atom_site_fract_y
_atom_site_fract_z
_atom_site_occupancy
Tl1 Tl 0.000 0.000 0.000 1
Cd1 Cd 0.500 0.500 0.500 1
Sb1 Sb 0.500 0.500 0.000 1
I1 I 0.000 0.500 0.500 1

***

# TlCdSb2I GGA-PBE optimized geometry
# * size of the total moment: 1.1 μB per formula unit
# * raw formation energy: 331 meV per atom
data_TlCdSb2I
_cell_length_a 5.542
_cell_length_b 5.542
_cell_length_c 6.375
_cell_angle_alpha 90.00
_cell_angle_beta 90.00
_cell_angle_gamma 90.00
_symmetry_space_group_name_H-M 'P 4/m m m'
_symmetry_Int_Tables_number 123
_symmetry_space_group_name_Hall '-P 4 2'
loop_
_atom_site_label
_atom_site_type_symbol
_atom_site_fract_x
_atom_site_fract_y
_atom_site_fract_z
_atom_site_occupancy
Tl1 Tl 0.000 0.000 0.000 1
Cd1 Cd 0.500 0.500 0.500 1
Sb1 Sb 0.000 0.500 0.500 1
I1 I 0.500 0.500 0.000 1

***

# VCdSb2I GGA-PBE optimized geometry
# * size of the total moment: 0.3 μB per formula unit
# * raw formation energy: 1302 meV per atom
data_VCdSb2I
_cell_length_a 5.441
_cell_length_b 5.441
_cell_length_c 5.842
_cell_angle_alpha 90.00
_cell_angle_beta 90.00
_cell_angle_gamma 90.00
_symmetry_space_group_name_H-M 'P 4/m m m'
_symmetry_Int_Tables_number 123
_symmetry_space_group_name_Hall '-P 4 2'
loop_
_atom_site_label
_atom_site_type_symbol
_atom_site_fract_x
_atom_site_fract_y
_atom_site_fract_z
_atom_site_occupancy
V1 V 0.000 0.000 0.000 1
Cd1 Cd 0.500 0.500 0.500 1
Sb1 Sb 0.000 0.500 0.500 1
I1 I 0.500 0.500 0.000 1

***

DFT total energy, record by record: -2.395, -2.837, -3.025, -3.813, -2.163, -2.154, -3.232, -2.393, -2.768, -2.733, -3.599, -2.096, -2.285, -2.663 eV/atom